Entry 1:
Below is a crystal of La5Ir relaxed with PBEsol, with properties calculated at the meta-GGA SCAN level.

Structure (POSCAR):
```
La5Ir
1.0
-3.448 1.257 0.990
-0.356 -4.167 4.052
5.198 4.503 5.088
La Ir
5 1
direct
0.782 0.500 0.565
0.618 0.000 0.237
0.108 0.500 0.215
0.460 0.500 0.920
0.369 0.000 0.737
0.996 0.000 0.993
```

Computed properties:
**Formation energy from the elements**: -0.21 eV/atom


Entry 2:
Below is a crystal of Li3NiB2O6 relaxed with PBEsol, with properties calculated at the meta-GGA SCAN level.

Structure (POSCAR):
```
Li3NiB2O6
1.0
-4.021 -2.816 -0.420
3.484 -5.116 0.354
0.300 -1.761 7.704
Li B O Ni
6 4 12 2
direct
0.177 0.896 0.929
0.823 0.104 0.071
0.673 0.264 0.390
0.322 0.041 0.262
0.678 0.959 0.738
0.327 0.736 0.610
0.161 0.169 0.574
0.332 0.323 0.909
0.839 0.831 0.426
0.668 0.677 0.091
0.201 0.480 0.777
0.616 0.334 0.909
0.280 0.279 0.413
0.204 0.161 0.030
0.888 0.222 0.602
0.112 0.778 0.398
0.796 0.839 0.970
0.296 0.005 0.687
0.704 0.995 0.313
0.384 0.666 0.091
0.799 0.520 0.223
0.720 0.721 0.587
0.842 0.445 0.723
0.158 0.555 0.277
```

Computed properties:
**Formation energy from raw total energies**: -2190 meV per atom


Entry 3:
Below is a crystal of CaBSbTe2 relaxed with PBEsol, with properties calculated at the meta-GGA SCAN level.

Structure (POSCAR):
```
CaBSbTe2
1.0
-3.395 3.572 -2.701
-2.085 -4.297 -3.063
-4.012 -0.849 3.921
Ca Te Sb B
1 2 1 1
direct
0.000 0.000 0.000
0.000 0.000 0.500
0.000 0.500 0.000
0.500 0.000 0.000
0.500 0.500 0.500
```

Computed properties:
**Formation energy from raw total energies**: 1270 meV per atom


Entry 4:
Below is a crystal of Be2SbPb relaxed with PBEsol, with properties calculated at the meta-GGA SCAN level.

Structure (POSCAR):
```
Be2SbPb
1.0
3.564 0.000 0.000
0.000 4.591 0.000
0.000 0.000 4.591
Be Pb Sb
2 1 1
direct
0.000 0.500 0.000
0.000 0.000 0.500
0.500 0.500 0.500
0.500 0.000 0.000
```

Computed properties:
**E above lowest polymorph**: 57 meV per atom
**Formation energy from raw total energies**: 745 meV per atom


Entry 5:
Below is a crystal of SrIn2Pt relaxed with PBEsol, with properties calculated at the meta-GGA SCAN level.

Structure (POSCAR):
```
SrIn2Pt
1.0
3.699 0.000 0.000
0.000 4.661 0.000
0.000 -2.330 5.888
Sr Pt In
1 1 2
direct
0.500 0.733 0.465
0.000 0.276 0.552
0.500 0.447 0.893
0.000 0.044 0.089
```

Computed properties:
**Formation energy from the elements**: -0.57 eV/atom


Entry 6:
Below is a crystal of MnCo4 relaxed with PBEsol, with properties calculated at the meta-GGA SCAN level.

Structure (POSCAR):
```
MnCo4
1.0
-3.158 -1.105 0.746
-0.401 -1.524 3.920
-2.511 2.971 1.648
Co Mn
4 1
direct
0.200 0.399 0.201
0.800 0.601 0.799
0.599 0.201 0.601
0.401 0.799 0.399
0.000 0.000 0.000
```

Computed properties:
**E above lowest polymorph**: 0 meV per atom
**Formation energy from the elements**: 0.10 eV/atom


Entry 7:
Below is a crystal of In3Te relaxed with PBEsol, with properties calculated at the meta-GGA SCAN level.

Structure (POSCAR):
```
In3Te
1.0
4.088 0.000 0.000
2.044 3.540 0.000
2.044 1.180 7.786
In Te
3 1
direct
0.500 0.500 0.500
0.749 0.749 0.752
0.251 0.251 0.248
0.000 0.000 0.000
```

Computed properties:
**Formation energy from raw total energies**: -114 meV per atom


Entry 8:
Below is a crystal of ErSi2Ni10 relaxed with PBEsol, with properties calculated at the meta-GGA SCAN level.

Structure (POSCAR):
```
ErSi2Ni10
1.0
-2.705 -2.912 2.330
-3.525 -2.229 -6.878
5.474 -5.821 -0.919
Ni Si Er
20 4 2
direct
0.000 0.750 0.250
0.000 0.750 0.750
0.730 0.000 0.722
0.239 0.647 0.500
0.761 0.853 0.000
0.761 0.500 0.353
0.270 0.500 0.778
0.761 0.147 0.000
0.000 0.250 0.250
0.239 0.000 0.853
0.270 0.500 0.222
0.239 0.353 0.500
0.270 0.278 0.000
0.000 0.250 0.750
0.730 0.000 0.278
0.239 0.000 0.147
0.730 0.222 0.500
0.270 0.722 0.000
0.761 0.500 0.647
0.730 0.778 0.500
0.500 0.250 0.750
0.500 0.250 0.250
0.500 0.750 0.750
0.500 0.750 0.250
0.779 0.500 0.000
0.221 0.000 0.500
```

Computed properties:
**Formation energy from raw total energies**: -438 meV per atom


Entry 9:
Below is a crystal of K4HgAs2 relaxed with PBEsol, with properties calculated at the meta-GGA SCAN level.

Structure (POSCAR):
```
K4HgAs2
1.0
-1.649 4.788 -2.605
-4.632 2.776 1.809
3.121 7.460 5.511
K Hg As
4 1 2
direct
0.611 0.611 0.167
0.389 0.389 0.833
0.792 0.792 0.623
0.208 0.208 0.377
0.000 0.000 0.000
0.910 0.910 0.270
0.090 0.090 0.730
```

Computed properties:
**Formation energy from the elements**: -0.57 eV/atom


Entry 10:
Below is a crystal of Na2YCo2 relaxed with PBEsol, with properties calculated at the meta-GGA SCAN level.

Structure (POSCAR):
```
Na2YCo2
1.0
3.906 0.000 0.000
0.000 3.906 0.000
-1.953 -1.953 6.664
Na Y Co
2 1 2
direct
0.250 0.750 0.500
0.750 0.250 0.500
0.000 0.000 0.000
0.578 0.578 0.156
0.422 0.422 0.844
```

Computed properties:
**Formation energy from the elements**: 0.42 eV/atom


Entry 11:
Below is a crystal of CoPbAu2 relaxed with PBEsol, with properties calculated at the meta-GGA SCAN level.

Structure (POSCAR):
```
CoPbAu2
1.0
3.971 0.000 0.000
0.000 3.982 0.000
0.000 0.000 4.367
Pb Co Au
1 1 2
direct
0.000 0.500 0.500
0.500 0.000 0.500
0.000 0.000 0.000
0.500 0.500 0.000
```

Computed properties:
**Formation energy from the elements**: 0.34 eV/atom


Entry 12:
Below is a crystal of CrRe2AsW relaxed with PBEsol, with properties calculated at the meta-GGA SCAN level.

Structure (POSCAR):
```
CrRe2AsW
1.0
-4.364 0.986 -0.733
-1.056 -4.581 0.130
-0.713 0.296 4.639
As W Re Cr
1 1 2 1
direct
0.500 0.500 0.500
0.000 0.000 0.000
0.000 0.500 0.000
0.000 0.000 0.500
0.500 0.000 0.000
```

Computed properties:
**Formation energy from the elements**: 2.05 eV/atom